Entry from Alexandria: a relaxed DySnAu crystal (PBEsol).

Unit cell a=4.629 b=4.629 c=7.299 alpha=90.00 beta=90.00 gamma=120.00
Element x y z (fractional)
Dy: 0.000 0.000 0.000
Dy: 0.000 0.000 0.500
Sn: 0.333 0.667 0.274
Sn: 0.667 0.333 0.774
Au: 0.333 0.667 0.673
Au: 0.667 0.333 0.173

Space group: P6_3mc
DFT formation energy (eV/atom): -0.874

***

Entry from Alexandria: a relaxed CsSbTe2Ru crystal (PBEsol).

Unit cell a=5.976 b=5.976 c=5.988 alpha=90.00 beta=90.00 gamma=90.00
Element x y z (fractional)
Cs: 0.000 0.000 0.000
Sb: 0.000 0.000 0.500
Te: 0.000 0.500 0.000
Te: 0.500 0.000 0.000
Ru: 0.500 0.500 0.500

Space group: P4/mmm
Electronic total energy (eV/atom): -2.2803

***

Entry from Alexandria: a relaxed Co2SbP crystal (PBEsol).

Unit cell a=5.775 b=5.775 c=5.775 alpha=35.01 beta=35.01 gamma=35.01
Element x y z (fractional)
Co: 0.218 0.218 0.218
Co: 0.782 0.782 0.782
Sb: 0.000 0.000 0.000
P: 0.500 0.500 0.500

Space group: R-3m
Electronic total energy (eV/atom): -6.7443

***

Entry from Alexandria: a relaxed H2Ir2Pt crystal (PBEsol).

Unit cell a=4.757 b=4.757 c=4.757 alpha=137.15 beta=137.15 gamma=62.21
Element x y z (fractional)
H: 0.250 0.750 0.500
H: 0.750 0.250 0.500
Ir: 0.160 0.160 0.000
Ir: 0.840 0.840 0.000
Pt: 0.500 0.500 0.000

Space group: I4/mmm
Electronic total energy (eV/atom): -6.3946

***

Entry from Alexandria: a relaxed ErZrRu2 crystal (PBEsol).

Unit cell a=4.620 b=4.620 c=4.620 alpha=60.00 beta=60.00 gamma=60.00
Element x y z (fractional)
Er: 0.000 0.000 0.000
Zr: 0.500 0.500 0.500
Ru: 0.250 0.250 0.250
Ru: 0.750 0.750 0.750

Space group: Fm-3m
DFT formation energy (eV/atom): -0.504

***

Entry from Alexandria: a relaxed RbTlSe2 crystal (PBEsol).

Unit cell a=7.115 b=7.115 c=7.115 alpha=112.94 beta=112.94 gamma=102.73
Element x y z (fractional)
Rb: 0.000 0.000 0.000
Rb: 0.750 0.250 0.500
Tl: 0.250 0.750 0.500
Tl: 0.500 0.500 0.000
Se: 0.198 0.125 0.573
Se: 0.375 0.802 0.927
Se: 0.552 0.625 0.427
Se: 0.875 0.448 0.073

Space group: I-42d
Electronic total energy (eV/atom): -3.4372

***

Entry from Alexandria: a relaxed Tl2CdSb2 crystal (PBEsol).

Unit cell a=7.440 b=7.440 c=5.357 alpha=90.00 beta=90.00 gamma=90.00
Element x y z (fractional)
Tl: 0.173 0.327 0.000
Tl: 0.327 0.827 0.000
Tl: 0.673 0.173 0.000
Tl: 0.827 0.673 0.000
Cd: 0.000 0.000 0.500
Cd: 0.500 0.500 0.500
Sb: 0.136 0.636 0.500
Sb: 0.364 0.136 0.500
Sb: 0.636 0.864 0.500
Sb: 0.864 0.364 0.500

Space group: P4/mbm
Electronic total energy (eV/atom): -3.0686

***

Entry from Alexandria: a relaxed CoCuRh2 crystal (PBEsol).

Unit cell a=2.581 b=2.581 c=8.611 alpha=90.00 beta=90.00 gamma=117.73
Element x y z (fractional)
Co: 0.000 0.000 0.000
Cu: 0.000 0.000 0.500
Rh: 0.500 0.500 0.246
Rh: 0.500 0.500 0.754

Space group: Cmmm
DFT formation energy (eV/atom): 0.216

***

Entry from Alexandria: a relaxed SrCdHgOs2 crystal (PBEsol).

Unit cell a=4.991 b=4.991 c=5.080 alpha=90.00 beta=90.00 gamma=90.00
Element x y z (fractional)
Sr: 0.000 0.000 0.000
Cd: 0.500 0.500 0.500
Hg: 0.500 0.500 0.000
Os: 0.000 0.500 0.500
Os: 0.500 0.000 0.500

Space group: P4/mmm
DFT formation energy (eV/atom): 1.735

***

Entry from Alexandria: a relaxed BaGaP2Cl crystal (PBEsol).

Unit cell a=4.633 b=4.633 c=5.602 alpha=90.00 beta=90.00 gamma=90.00
Element x y z (fractional)
Ba: 0.000 0.000 0.000
Ga: 0.500 0.500 0.500
P: 0.000 0.500 0.500
P: 0.500 0.000 0.500
Cl: 0.500 0.500 0.000

Space group: P4/mmm
Electronic total energy (eV/atom): -4.3949

***

Entry from Alexandria: a relaxed HgGe2Te crystal (PBEsol).

Unit cell a=5.032 b=5.032 c=5.032 alpha=60.00 beta=60.00 gamma=60.00
Element x y z (fractional)
Hg: 0.000 0.000 0.000
Ge: 0.250 0.250 0.250
Ge: 0.750 0.750 0.750
Te: 0.500 0.500 0.500

Space group: Fm-3m
Electronic total energy (eV/atom): -3.2241

***

Entry from Alexandria: a relaxed Ba2LaBr crystal (PBEsol).

Unit cell a=4.126 b=5.566 c=6.691 alpha=90.00 beta=104.98 gamma=90.00
Element x y z (fractional)
Ba: 0.000 0.000 0.000
Ba: 0.285 0.500 0.597
La: 0.664 0.000 0.438
Br: 0.569 0.500 0.154

Space group: Pm
Electronic total energy (eV/atom): -3.3582

***

Entry from Alexandria: a relaxed MgZr2Zn crystal (PBEsol).

Unit cell a=4.779 b=4.779 c=4.779 alpha=60.00 beta=60.00 gamma=60.00
Element x y z (fractional)
Mg: 0.000 0.000 0.000
Zr: 0.250 0.250 0.250
Zr: 0.750 0.750 0.750
Zn: 0.500 0.500 0.500

Space group: Fm-3m
DFT formation energy (eV/atom): -0.054

***

Entry from Alexandria: a relaxed TlAuI3 crystal (PBEsol).

Unit cell a=5.597 b=5.597 c=5.597 alpha=90.00 beta=90.00 gamma=90.00
Element x y z (fractional)
Tl: 0.000 0.000 0.000
Au: 0.500 0.500 0.500
I: 0.000 0.500 0.500
I: 0.500 0.000 0.500
I: 0.500 0.500 0.000

Space group: Pm-3m
Electronic total energy (eV/atom): -2.5802

***

Entry from Alexandria: a relaxed BaZnCd2 crystal (PBEsol).

Unit cell a=5.242 b=5.242 c=5.242 alpha=60.00 beta=60.00 gamma=60.00
Element x y z (fractional)
Ba: 0.000 0.000 0.000
Zn: 0.750 0.750 0.750
Cd: 0.250 0.250 0.250
Cd: 0.500 0.500 0.500

Space group: F-43m
DFT formation energy (eV/atom): -0.131